Arrangement 1

The following is a GGA-PBEsol calculation of crystalline SbPCS2 at its relaxed geometry, from Alexandria via LeMat-Bulk.

Cell and atoms, written as POSCAR:
```
SbPCS2
1.0
4.896 0.000 0.000
0.000 4.896 0.000
0.000 0.000 5.122
Sb S C P
1 2 1 1
Direct
0.000 0.000 0.000
0.000 0.500 0.000
0.500 0.000 0.000
0.500 0.500 0.500
0.000 0.000 0.500
```

Output
Space-group type: P4/mmm (123)

Arrangement 2

The following is a GGA-PBEsol calculation of crystalline SbPCS2 at its relaxed geometry, from Alexandria via LeMat-Bulk.

Cell and atoms, written as POSCAR:
```
SbPCS2
1.0
4.146 0.000 0.000
0.000 4.196 0.000
0.000 0.000 4.196
Sb S C P
1 2 1 1
Direct
0.500 0.500 0.500
0.000 0.000 0.500
0.000 0.500 0.000
0.000 0.000 0.000
0.500 0.000 0.000
```

Output
Space-group type: P4/mmm (123)

The relative energies come out as arrangement 1 1324; arrangement 2 0, with values in meV per atom.

Arrangement 1

The following is a GGA-PBEsol calculation of crystalline PCSeS2 at its relaxed geometry, from Alexandria via LeMat-Bulk.

Cell and atoms, written as POSCAR:
```
PCSeS2
1.0
-2.312 -0.056 4.027
-3.991 -0.596 -2.300
0.558 -4.724 0.255
P S C Se
1 2 1 1
Direct
0.000 0.000 0.500
0.000 0.500 0.000
0.500 0.000 0.000
0.500 0.500 0.500
0.000 0.000 0.000
```

Output
Space-group type: P4/mmm (123)

Arrangement 2

The following is a GGA-PBEsol calculation of crystalline PCSeS2 at its relaxed geometry, from Alexandria via LeMat-Bulk.

Cell and atoms, written as POSCAR:
```
PCSeS2
1.0
-1.561 3.342 -1.600
-2.458 0.365 3.160
2.976 2.368 2.043
P S C Se
1 2 1 1
Direct
0.000 0.000 0.500
0.000 0.500 0.000
0.500 0.000 0.000
0.000 0.000 0.000
0.500 0.500 0.500
```

Output
Space-group type: P4/mmm (123)

The relative energies come out as arrangement 1 1103; arrangement 2 0, with values in meV per atom.

Arrangement 1

The following is a GGA-PBEsol calculation of crystalline PbC3 at its relaxed geometry, from Alexandria via LeMat-Bulk.

Cell and atoms, written as POSCAR:
```
PbC3
1.0
-2.347 -0.343 -2.312
-1.875 -2.439 2.266
-1.937 2.914 1.534
Pb C
1 3
Direct
0.500 0.000 0.000
0.000 0.000 0.500
0.500 0.500 0.500
0.000 0.500 0.000
```

Output
Space-group type: P4/mmm (123)

Arrangement 2

The following is a GGA-PBEsol calculation of crystalline PbC3 at its relaxed geometry, from Alexandria via LeMat-Bulk.

Cell and atoms, written as POSCAR:
```
PbC3
1.0
-4.353 -0.687 1.050
-0.573 -2.284 -3.870
1.116 -3.851 2.108
Pb C
1 3
Direct
0.000 0.000 0.000
0.500 0.000 0.000
0.000 0.500 0.000
0.000 0.000 0.500
```

Output
Space-group type: Pm-3m (221)

The relative energies come out as arrangement 1 0; arrangement 2 931, with values in meV per atom.

Arrangement 1

The following is a GGA-PBEsol calculation of crystalline PtC at its relaxed geometry, from Alexandria via LeMat-Bulk.

Cell and atoms, written as POSCAR:
```
PtC
1.0
-3.211 -1.602 -2.586
-1.810 -2.017 3.497
-2.446 3.597 0.808
C Pt
4 4
Direct
0.061 0.561 0.939
0.439 0.439 0.439
0.939 0.061 0.561
0.561 0.939 0.061
0.479 0.979 0.521
0.021 0.021 0.021
0.521 0.479 0.979
0.979 0.521 0.479
```

Output
Space-group type: P2_13 (198)

Arrangement 2

The following is a GGA-PBEsol calculation of crystalline PtC at its relaxed geometry, from Alexandria via LeMat-Bulk.

Cell and atoms, written as POSCAR:
```
PtC
1.0
-1.387 -3.567 -1.373
1.780 -1.781 -3.193
2.205 -3.376 0.523
C Pt
2 2
Direct
0.500 0.500 0.500
0.750 0.750 0.750
0.000 0.000 0.000
0.250 0.250 0.250
```

Output
Space-group type: Fd-3m (227)

The relative energies come out as arrangement 1 0; arrangement 2 1294, with values in meV per atom.

Arrangement 1

The following is a GGA-PBEsol calculation of crystalline PtC at its relaxed geometry, from Alexandria via LeMat-Bulk.

Cell and atoms, written as POSCAR:
```
PtC
1.0
3.351 0.000 0.000
0.000 3.351 0.000
0.000 0.000 4.201
C Pt
2 2
Direct
0.500 0.500 0.000
0.000 0.000 0.000
0.500 0.000 0.287
0.000 0.500 0.713
```

Output
Space-group type: P4/nmm (129)

Arrangement 2

The following is a GGA-PBEsol calculation of crystalline PtC at its relaxed geometry, from Alexandria via LeMat-Bulk.

Cell and atoms, written as POSCAR:
```
PtC
1.0
-2.555 0.392 2.072
-1.610 -2.463 -1.520
4.939 -3.554 4.113
C Pt
3 3
Direct
0.014 0.875 0.028
0.347 0.208 0.694
0.681 0.542 0.361
0.597 0.959 0.194
0.931 0.292 0.861
0.264 0.625 0.528
```

Output
Space-group type: I-4m2 (119)

Arrangement 3

The following is a GGA-PBEsol calculation of crystalline PtC at its relaxed geometry, from Alexandria via LeMat-Bulk.

Cell and atoms, written as POSCAR:
```
PtC
1.0
-2.560 -0.140 -1.784
2.281 -2.101 -0.374
-2.257 -3.071 3.479
C Pt
2 2
Direct
0.667 0.333 0.750
0.333 0.667 0.250
0.000 0.000 0.000
0.000 0.000 0.500
```

Output
Space-group type: P6_3/mmc (194)

The relative energies come out as arrangement 1 381; arrangement 2 0; arrangement 3 337, with values in meV per atom.

Arrangement 1

The following is a GGA-PBEsol calculation of crystalline PtC3 at its relaxed geometry, from Alexandria via LeMat-Bulk.

Cell and atoms, written as POSCAR:
```
PtC3
1.0
2.453 0.000 0.000
-1.227 3.270 0.000
0.000 0.000 5.569
C Pt
3 1
Direct
0.000 0.000 0.816
0.500 0.000 0.000
0.000 0.000 0.184
0.500 0.000 0.500
```

Output
Space-group type: Cmmm (65)

Arrangement 2

The following is a GGA-PBEsol calculation of crystalline PtC3 at its relaxed geometry, from Alexandria via LeMat-Bulk.

Cell and atoms, written as POSCAR:
```
PtC3
1.0
-2.633 -1.180 -2.771
0.716 -3.821 0.946
-2.926 0.126 2.726
C Pt
3 1
Direct
0.500 0.000 0.000
0.000 0.500 0.000
0.000 0.000 0.500
0.000 0.000 0.000
```

Output
Space-group type: Pm-3m (221)

The relative energies come out as arrangement 1 0; arrangement 2 1338, with values in meV per atom.

Arrangement 1

The following is a GGA-PBEsol calculation of crystalline Ru2PtC2 at its relaxed geometry, from Alexandria via LeMat-Bulk.

Cell and atoms, written as POSCAR:
```
Ru2PtC2
1.0
-1.699 2.960 -1.585
-0.377 -1.934 -3.206
-2.310 -1.806 3.569
Ru C Pt
2 2 1
Direct
0.250 0.750 0.500
0.750 0.250 0.500
0.398 0.398 0.795
0.602 0.602 0.205
0.000 0.000 0.000
```

Output
Space-group type: I4/mmm (139)

Arrangement 2

The following is a GGA-PBEsol calculation of crystalline Ru2PtC2 at its relaxed geometry, from Alexandria via LeMat-Bulk.

Cell and atoms, written as POSCAR:
```
Ru2PtC2
1.0
-1.745 0.757 2.664
1.366 -2.505 1.605
4.057 4.031 -0.499
Ru C Pt
2 2 1
Direct
0.365 0.365 0.729
0.635 0.635 0.271
0.250 0.750 0.500
0.750 0.250 0.500
0.000 0.000 0.000
```

Output
Space-group type: I4/mmm (139)

The relative energies come out as arrangement 1 0; arrangement 2 197, with values in meV per atom.

Arrangement 1

The following is a GGA-PBEsol calculation of crystalline Zn3PtC at its relaxed geometry, from Alexandria via LeMat-Bulk.

Cell and atoms, written as POSCAR:
```
Zn3PtC
1.0
-3.609 -0.265 -1.771
1.786 -0.222 -3.605
0.140 -4.015 0.316
Zn C Pt
3 1 1
Direct
0.000 0.500 0.000
0.000 0.000 0.500
0.500 0.000 0.000
0.000 0.000 0.000
0.500 0.500 0.500
```

Output
Space-group type: Pm-3m (221)

Arrangement 2

The following is a GGA-PBEsol calculation of crystalline Zn3PtC at its relaxed geometry, from Alexandria via LeMat-Bulk.

Cell and atoms, written as POSCAR:
```
Zn3PtC
1.0
-2.441 3.670 1.741
-3.186 -0.470 -3.477
-2.520 -2.962 2.710
Zn C Pt
3 1 1
Direct
0.000 0.500 0.000
0.000 0.000 0.500
0.500 0.000 0.000
0.500 0.500 0.500
0.000 0.000 0.000
```

Output
Space-group type: Pm-3m (221)

The relative energies come out as arrangement 1 0; arrangement 2 1067, with values in meV per atom.

Arrangement 1

The following is a GGA-PBEsol calculation of crystalline Rb2C at its relaxed geometry, from Alexandria via LeMat-Bulk.

Cell and atoms, written as POSCAR:
```
Rb2C
1.0
-2.142 -2.479 2.876
5.433 -3.517 1.016
-0.665 6.565 5.163
C Rb
2 4
Direct
0.000 0.362 0.725
0.000 0.638 0.275
0.000 0.000 0.000
0.500 0.500 0.000
0.500 0.232 0.464
0.500 0.768 0.536
```

Output
Space-group type: Cmmm (65)

Arrangement 2

The following is a GGA-PBEsol calculation of crystalline Rb2C at its relaxed geometry, from Alexandria via LeMat-Bulk.

Cell and atoms, written as POSCAR:
```
Rb2C
1.0
-4.346 -0.517 1.088
-0.984 -0.822 -4.324
0.936 -5.942 0.916
C Rb
1 2
Direct
0.000 0.000 0.000
0.000 0.000 0.500
0.500 0.500 0.000
```

Output
Space-group type: P4/mmm (123)

The relative energies come out as arrangement 1 115; arrangement 2 0, with values in meV per atom.

Arrangement 1

The following is a GGA-PBEsol calculation of crystalline RbC at its relaxed geometry, from Alexandria via LeMat-Bulk.

Cell and atoms, written as POSCAR:
```
RbC
1.0
-2.069 3.407 3.137
-4.570 1.947 -1.028
-7.911 -7.976 7.546
C Rb
2 2
Direct
0.082 0.082 0.755
0.918 0.918 0.245
0.585 0.585 0.245
0.415 0.415 0.755
```

Output
Space-group type: R-3m (166)

Arrangement 2

The following is a GGA-PBEsol calculation of crystalline RbC at its relaxed geometry, from Alexandria via LeMat-Bulk.

Cell and atoms, written as POSCAR:
```
RbC
1.0
4.073 0.000 0.000
0.000 6.055 -0.018
-2.037 -2.950 8.197
C Rb
3 3
Direct
0.405 0.577 0.809
0.588 0.256 0.176
0.601 0.063 0.202
0.953 0.007 0.905
0.062 0.631 0.124
0.225 0.299 0.450
```

Output
Space-group type: Cm (8)

The relative energies come out as arrangement 1 1478; arrangement 2 0, with values in meV per atom.

Arrangement 1

The following is a GGA-PBEsol calculation of crystalline RbSn2C2 at its relaxed geometry, from Alexandria via LeMat-Bulk.

Cell and atoms, written as POSCAR:
```
RbSn2C2
1.0
4.298 0.000 0.000
0.000 4.298 0.000
-2.149 -2.149 4.964
C Sn Rb
2 2 1
Direct
0.250 0.750 0.500
0.750 0.250 0.500
0.338 0.338 0.676
0.662 0.662 0.324
0.000 0.000 0.000
```

Output
Space-group type: I4/mmm (139)

Arrangement 2

The following is a GGA-PBEsol calculation of crystalline RbSn2C2 at its relaxed geometry, from Alexandria via LeMat-Bulk.

Cell and atoms, written as POSCAR:
```
RbSn2C2
1.0
4.443 0.000 0.000
0.000 4.443 0.000
-2.221 -2.221 6.185
C Sn Rb
2 2 1
Direct
0.293 0.293 0.586
0.707 0.707 0.414
0.250 0.750 0.500
0.750 0.250 0.500
0.000 0.000 0.000
```

Output
Space-group type: I4/mmm (139)

The relative energies come out as arrangement 1 0; arrangement 2 135, with values in meV per atom.

Arrangement 1

The following is a GGA-PBEsol calculation of crystalline ReC3 at its relaxed geometry, from Alexandria via LeMat-Bulk.

Cell and atoms, written as POSCAR:
```
ReC3
1.0
-0.679 -2.500 1.897
2.910 -1.229 -0.578
1.176 1.597 2.526
Re C
1 3
Direct
0.000 0.000 0.000
0.000 0.500 0.500
0.500 0.000 0.500
0.500 0.500 0.000
```

Output
Space-group type: Pm-3m (221)

Arrangement 2

The following is a GGA-PBEsol calculation of crystalline ReC3 at its relaxed geometry, from Alexandria via LeMat-Bulk.

Cell and atoms, written as POSCAR:
```
ReC3
1.0
-2.491 0.606 0.774
-0.789 0.023 -2.559
-0.713 -10.800 1.525
C Re
6 2
Direct
0.000 0.500 0.000
0.500 0.000 0.000
0.750 0.250 0.500
0.250 0.750 0.500
0.871 0.871 0.742
0.129 0.129 0.258
0.670 0.670 0.341
0.330 0.330 0.659
```

Output
Space-group type: I4/mmm (139)

Arrangement 3

The following is a GGA-PBEsol calculation of crystalline ReC3 at its relaxed geometry, from Alexandria via LeMat-Bulk.

Cell and atoms, written as POSCAR:
```
ReC3
1.0
-0.881 -0.414 2.722
-1.714 -2.239 0.640
3.429 -3.905 2.051
Re C
1 3
Direct
0.000 0.000 0.000
0.500 0.500 0.500
0.582 0.582 0.254
0.418 0.418 0.746
```

Output
Space-group type: R-3m (166)

The relative energies come out as arrangement 1 1958; arrangement 2 1152; arrangement 3 0, with values in meV per atom.

Arrangement 1

The following is a GGA-PBEsol calculation of crystalline TlRe3C at its relaxed geometry, from Alexandria via LeMat-Bulk.

Cell and atoms, written as POSCAR:
```
TlRe3C
1.0
4.142 0.000 0.000
0.000 4.142 0.000
0.000 0.000 4.142
Re Tl C
3 1 1
Direct
0.000 0.500 0.000
0.000 0.000 0.500
0.500 0.000 0.000
0.500 0.500 0.500
0.000 0.000 0.000
```

Output
Space-group type: Pm-3m (221)

Arrangement 2

The following is a GGA-PBEsol calculation of crystalline TlRe3C at its relaxed geometry, from Alexandria via LeMat-Bulk.

Cell and atoms, written as POSCAR:
```
TlRe3C
1.0
4.889 0.000 0.000
0.000 4.889 0.000
0.000 0.000 4.889
Re Tl C
3 1 1
Direct
0.000 0.500 0.000
0.000 0.000 0.500
0.500 0.000 0.000
0.000 0.000 0.000
0.500 0.500 0.500
```

Output
Space-group type: Pm-3m (221)

The relative energies come out as arrangement 1 0; arrangement 2 4224, with values in meV per atom.